Entry 1:
A relaxed structure of TiV5Ge3. Source: Alexandria, functional PBE.

```
TiV5Ge3
1.0
-2.888 3.943 -4.704
2.580 -3.937 -4.885
-4.617 -3.317 4.945
Ti V Ge
2 10 6
Direct
0.750 0.250 0.500
0.250 0.750 0.500
0.072 0.572 0.712
0.640 0.140 0.712
0.140 0.072 0.712
0.572 0.640 0.712
0.928 0.428 0.288
0.360 0.860 0.288
0.860 0.928 0.288
0.428 0.360 0.288
0.500 0.500 0.000
0.000 0.000 0.000
0.617 0.117 0.000
0.383 0.883 0.000
0.883 0.617 0.000
0.117 0.383 0.000
0.250 0.250 0.500
0.750 0.750 0.500
```

For the raw total energy, the calculation gives -7.3605 eV/atom. As for the crystal system: tetragonal. The calculation puts the calculated volume at 267 Å³ per cell. The density of states at the Fermi level comes out at 8.121 states/eV/f.u.

Entry 2:
A relaxed structure of Ti2VGe. Source: Alexandria, functional PBE.

```
Ti2VGe
1.0
2.937 0.000 0.000
1.469 2.544 0.000
1.469 0.848 8.608
Ge Ti V
1 2 1
Direct
0.500 0.500 0.500
0.251 0.251 0.246
0.749 0.749 0.754
0.000 0.000 0.000
```

For the raw total energy, the calculation gives -7.4454 eV/atom. As for the crystal system: trigonal. The calculation puts the calculated volume at 64 Å³ per cell. The density of states at the Fermi level comes out at 5.142 states/eV/f.u.

Entry 3:
A relaxed structure of TiV3Ge. Source: Alexandria, functional PBE.

```
TiV3Ge
1.0
-0.904 -4.093 -1.028
3.618 -1.989 4.736
-3.912 -0.062 3.685
Ti V Ge
2 6 2
Direct
0.476 0.444 0.710
0.976 0.909 0.192
0.476 0.214 0.279
0.476 0.007 0.901
0.976 0.487 0.415
0.976 0.139 0.623
0.976 0.346 0.001
0.476 0.866 0.487
0.975 0.743 0.741
0.475 0.610 0.161
```

For the raw total energy, the calculation gives -8.1091 eV/atom. The calculation puts the energy above the most stable polymorph in this dataset at 0.0 meV per atom. As for the crystal system: monoclinic. The calculation puts the calculated volume at 145 Å³ per cell. The density of states at the Fermi level comes out at 5.609 states/eV/f.u.

Entry 4:
A relaxed structure of TiV12Ge6. Source: Alexandria, functional PBE.

```
TiV12Ge6
1.0
-6.760 2.420 -0.086
0.437 -6.250 3.507
4.424 4.866 2.880
Ti V Ge
1 12 6
Direct
0.000 0.000 0.000
0.793 0.668 0.523
0.523 0.793 0.668
0.668 0.523 0.793
0.207 0.332 0.477
0.477 0.207 0.332
0.332 0.477 0.207
0.888 0.806 0.260
0.194 0.740 0.112
0.740 0.112 0.194
0.112 0.194 0.740
0.806 0.260 0.888
0.260 0.888 0.806
0.655 0.935 0.434
0.566 0.345 0.065
0.065 0.566 0.345
0.345 0.065 0.566
0.434 0.655 0.935
0.935 0.434 0.655
```

For the raw total energy, the calculation gives -7.7492 eV/atom. As for the crystal system: trigonal. The calculation puts the calculated volume at 269 Å³ per cell. The density of states at the Fermi level comes out at 19.209 states/eV/f.u.